Entry 1:
# Cs3TmSb2Se6

An optimized crystal structure of Cs3TmSb2Se6 (PBE-GGA, Alexandria).

Computed properties:
Raw formation energy = -12.2 eV/f.u.

Unit cell a=7.4306 b=7.4306 c=8.6869 alpha=98.19 beta=98.19 gamma=119.99
Atoms (fractional coordinates):
Cs (0.1689, 0.8311, 0.5000)
Cs (0.8311, 0.1689, 0.5000)
Cs (0.5000, 0.5000, 0.5000)
Tm (0.0000, 0.0000, 0.0000)
Sb (0.3336, 0.6664, 0.0000)
Sb (0.6664, 0.3336, 0.0000)
Se (0.9385, 0.6107, 0.8152)
Se (0.7341, 0.7341, 0.1854)
Se (0.0615, 0.3893, 0.1848)
Se (0.6107, 0.9385, 0.8152)
Se (0.2659, 0.2659, 0.8146)
Se (0.3893, 0.0615, 0.1848)


Entry 2:
# CsZnSb2Se

An optimized crystal structure of CsZnSb2Se (PBE-GGA, Alexandria).

Computed properties:
Raw formation energy = 1.5 eV/f.u.

Unit cell a=5.1960 b=6.6948 c=5.1960 alpha=90.00 beta=90.00 gamma=90.00
Atoms (fractional coordinates):
Cs (0.0000, 0.5000, 0.0000)
Sb (0.0000, 0.0000, 0.5000)
Sb (0.5000, 0.0000, 0.0000)
Zn (0.0000, 0.0000, 0.0000)
Se (0.5000, 0.5000, 0.5000)


Entry 3:
# CsZnSbSe3

An optimized crystal structure of CsZnSbSe3 (PBE-GGA, Alexandria).

Computed properties:
Raw formation energy = -4.3 eV/f.u.

Unit cell a=4.2019 b=9.9622 c=10.3074 alpha=108.98 beta=90.00 gamma=90.00
Atoms (fractional coordinates):
Cs (0.2500, 0.1923, 0.2362)
Cs (0.7500, 0.8077, 0.7638)
Zn (0.2500, 0.0866, 0.6080)
Zn (0.7500, 0.9134, 0.3920)
Sb (0.2500, 0.6581, 0.1325)
Sb (0.7500, 0.3419, 0.8675)
Se (0.7500, 0.8576, 0.1382)
Se (0.2500, 0.1424, 0.8618)
Se (0.2500, 0.8214, 0.4731)
Se (0.7500, 0.1786, 0.5269)
Se (0.7500, 0.4489, 0.1387)
Se (0.2500, 0.5511, 0.8613)


Entry 4:
# Cs2ZrSbSe4

An optimized crystal structure of Cs2ZrSbSe4 (PBE-GGA, Alexandria).

Computed properties:
Raw formation energy = -7.1 eV/f.u.

Unit cell a=6.1367 b=8.6025 c=13.8756 alpha=85.48 beta=77.22 gamma=69.10
Atoms (fractional coordinates):
Cs (0.1760, 0.0000, 0.6480)
Cs (0.8240, 0.0000, 0.3520)
Cs (0.5740, 0.5000, 0.8520)
Cs (0.9260, 0.5000, 0.1480)
Zr (0.7500, 0.5000, 0.5000)
Zr (0.0000, 0.0000, 0.0000)
Sb (0.2500, 0.5000, 0.5000)
Sb (0.5000, 0.0000, 0.0000)
Se (0.2574, 0.7945, 0.1155)
Se (0.1674, 0.2055, 0.8845)
Se (0.9481, 0.7945, 0.8845)
Se (0.6271, 0.2055, 0.1155)
Se (0.4926, 0.7055, 0.3845)
Se (0.5826, 0.2945, 0.6155)
Se (0.8019, 0.7055, 0.6155)
Se (0.1229, 0.2945, 0.3845)


Entry 5:
# CsSiSb2

An optimized crystal structure of CsSiSb2 (PBE-GGA, Alexandria).

Computed properties:
Raw formation energy = 0.1 eV/f.u.

Unit cell a=8.4182 b=8.4182 c=7.2963 alpha=54.77 beta=54.77 gamma=90.00
Atoms (fractional coordinates):
Cs (0.0000, 0.0000, 0.0000)
Cs (0.7500, 0.2500, 0.5000)
Sb (0.5164, 0.1250, 0.2500)
Sb (0.2336, 0.6250, 0.2500)
Sb (0.3750, 0.4836, 0.7500)
Sb (0.8750, 0.7664, 0.7500)
Si (0.5000, 0.5000, 0.0000)
Si (0.2500, 0.7500, 0.5000)


Entry 6:
# Cs3SiSb

An optimized crystal structure of Cs3SiSb (PBE-GGA, Alexandria).

Computed properties:
Relative energy among the computed polymorphs = 532 meV/atom
Raw formation energy = 2.0 eV/f.u.

Unit cell a=7.3172 b=7.3172 c=7.3172 alpha=90.00 beta=90.00 gamma=90.00
Atoms (fractional coordinates):
Cs (0.0000, 0.5000, 0.0000)
Cs (0.0000, 0.0000, 0.5000)
Cs (0.5000, 0.0000, 0.0000)
Sb (0.0000, 0.0000, 0.0000)
Si (0.5000, 0.5000, 0.5000)